VASP calculation (PBE) on CsAg2TeS4 after structural relaxation.

Output
The calculation puts the formation energy without anion corrections at -0.17 eV/atom. As for the crystal system: tetragonal. The total energy comes out at -27.6 eV per cell. The density of states at the Fermi level comes out at 0.515 states/eV per atom. The space-group type is I-42m.

Cell: 6.888 6.888 6.888 Å, 119.99 119.99 90.02°
Atoms (fractional coordinates):
Cs (0.500, 0.500, 0.000)
S (0.968, 0.359, 0.000)
S (0.641, 0.641, 0.609)
S (0.359, 0.968, 0.000)
S (0.032, 0.032, 0.391)
Ag (0.750, 0.250, 0.500)
Ag (0.250, 0.750, 0.500)
Te (0.000, 0.000, 0.000)